GaMoP2O | GGA+U | optimized geometry

```
GaMoP2O
1.0
-4.564 -1.820 -0.564
0.316 -2.167 4.434
-1.351 2.917 1.522
P Mo O Ga
2 1 1 1
Cartesian
0.158 -1.083 2.217
-2.282 -0.910 -0.282
-2.800 -0.535 2.696
-0.676 1.459 0.761
0.000 0.000 0.000
```

Raw total energy in eV/atom: -4.7301
Space-group type: P4/mmm, No. 123
Total magnetization in μB/cell: 2.8